1.
DFT (PBE) results for a relaxed Pu3ZrU3Se8 crystal.

Lattice parameters (Å, degrees): 7.983 7.983 8.250 118.93 90.00 120.00
Site moments in Bohr magnetons follow the coordinates.
Fractional coordinates of all 15 atoms:
Pu1 0.000 0.000 0.000  5.32
Pu2 0.000 0.500 0.000  5.32
Pu3 0.500 0.500 0.000  5.32
Se1 0.753 0.507 0.256  -0.01
Se2 0.249 0.002 0.255  -0.01
Se3 0.751 0.998 0.745  -0.01
Se4 0.247 0.998 0.745  -0.01
Se5 0.753 0.002 0.255  -0.01
Se6 0.247 0.493 0.744  -0.01
Se7 0.750 0.500 0.751  -0.01
Se8 0.250 0.500 0.249  -0.01
U1 0.000 0.500 0.500  -2.20
U2 0.500 0.000 0.500  -2.20
U3 0.500 0.500 0.500  -2.20
Zr1 0.000 0.000 0.500  -0.08

Computed properties:
VASP energy	-8.832	eV/atom
magnetization	9.36	μB/cell
ΔE_f (raw)	-1.28	eV per atom
symmetry	R-3m, No. 166

2.
DFT (PBE) results for a relaxed PuVSe4 crystal.

Lattice parameters (Å, degrees): 6.737 6.291 7.912 106.37 108.52 105.78
Site moments in Bohr magnetons follow the coordinates.
Fractional coordinates of all 12 atoms:
Se1 0.791 0.022 0.574  -0.14
Se2 0.326 0.217 0.922  -0.25
Se3 0.209 0.978 0.426  -0.14
Se4 0.284 0.553 0.574  -0.14
Se5 0.904 0.295 0.078  -0.25
Se6 0.096 0.705 0.922  -0.25
Se7 0.674 0.783 0.078  -0.25
Se8 0.716 0.447 0.426  -0.14
V1 0.077 0.827 0.655  1.11
V2 0.923 0.173 0.345  1.11
Pu1 0.369 0.619 0.238  4.81
Pu2 0.631 0.381 0.762  4.81

Computed properties:
VASP energy	-7.089	eV/atom
magnetization	10.17	μB/cell
ΔE_f (raw)	-0.86	eV per atom
symmetry	C2/c, No. 15

Question: Which of these has the highest VASP energy?
Answer: PuVSe4

Question: Which value of VASP energy does entry 1 give?
Answer: -8.832 eV/atom

Copy entry 2 word for word.
DFT (PBE) results for a relaxed PuVSe4 crystal.

Lattice parameters (Å, degrees): 6.737 6.291 7.912 106.37 108.52 105.78
Site moments in Bohr magnetons follow the coordinates.
Fractional coordinates of all 12 atoms:
Se1 0.791 0.022 0.574  -0.14
Se2 0.326 0.217 0.922  -0.25
Se3 0.209 0.978 0.426  -0.14
Se4 0.284 0.553 0.574  -0.14
Se5 0.904 0.295 0.078  -0.25
Se6 0.096 0.705 0.922  -0.25
Se7 0.674 0.783 0.078  -0.25
Se8 0.716 0.447 0.426  -0.14
V1 0.077 0.827 0.655  1.11
V2 0.923 0.173 0.345  1.11
Pu1 0.369 0.619 0.238  4.81
Pu2 0.631 0.381 0.762  4.81

Computed properties:
VASP energy	-7.089	eV/atom
magnetization	10.17	μB/cell
ΔE_f (raw)	-0.86	eV per atom
symmetry	C2/c, No. 15

Question: What is the ΔE_f (raw) in the second record?
Answer: -0.86 eV per atom